No. 1
A plane-wave DFT calculation with meta-GGA SCAN was carried out for a PBEsol-optimized structure of LiScGa2As.

Cell: 4.988 4.988 4.949 Å, 90.00 90.00 90.00°
Atoms (fractional coordinates):
Li1 0.000 0.000 0.000
Sc1 0.500 0.500 0.000
Ga1 0.000 0.500 0.500
Ga2 0.500 0.000 0.500
As1 0.500 0.500 0.500

Values from the calculation:
- SG = P4/mmm, No. 123
- E_tot (eV/atom) = -13.772
- magnetization (μB per formula unit) = 0.00
- V (Å³ per atom) = 24.62
- ΔH_f (0 K) (meV per atom) = 130

No. 2
A plane-wave DFT calculation with meta-GGA SCAN was carried out for a PBEsol-optimized structure of Ca2H2Pd.

Cell: 3.581 3.581 12.329 Å, 90.00 90.00 90.00°
Atoms (fractional coordinates):
Ca1 0.000 0.000 0.143
Ca2 0.000 0.000 0.857
Ca3 0.500 0.500 0.357
Ca4 0.500 0.500 0.643
H1 0.000 0.500 0.250
H2 0.000 0.500 0.750
H3 0.500 0.000 0.250
H4 0.500 0.000 0.750
Pd1 0.000 0.000 0.500
Pd2 0.500 0.500 0.000

Values from the calculation:
- SG = I4/mmm, No. 139
- E_tot (eV/atom) = -12.411
- magnetization (μB per formula unit) = 0.00
- V (Å³ per atom) = 15.81

No. 3
A plane-wave DFT calculation with meta-GGA SCAN was carried out for a PBEsol-optimized structure of CaCu2.

Cell: 3.993 3.993 6.968 Å, 90.00 90.00 90.00°
Atoms (fractional coordinates):
Ca1 0.250 0.250 0.173
Ca2 0.750 0.750 0.827
Cu1 0.250 0.250 0.704
Cu2 0.250 0.750 0.500
Cu3 0.750 0.250 0.500
Cu4 0.750 0.750 0.296

Values from the calculation:
- SG = P4/nmm, No. 129
- E_tot (eV/atom) = -13.413
- magnetization (μB per formula unit) = 0.00
- V (Å³ per atom) = 18.52
- ΔH_f (0 K) (meV per atom) = -59